# PBE+U KVH6SeO9, relaxed
# VASP energy	-5.473	eV per atom
# ρ	2.53	Mg/m³
# size of the total moment	0.1	Bohr magnetons per cell
data_KVH6SeO9
_chemical_formula_sum 'K2 V2 H12 Se2 O18'
_cell_length_a 6.460
_cell_length_b 10.092
_cell_length_c 6.713
_cell_angle_alpha 90.00
_cell_angle_beta 107.16
_cell_angle_gamma 90.00
_symmetry_space_group_name_H-M 'P 1 21 1'
_symmetry_Int_Tables_number 4
loop_
_symmetry_equiv_pos_as_xyz
'x,y,z'
'-x,y+1/2,-z'
loop_
_atom_site_label
_atom_site_fract_x
_atom_site_fract_y
_atom_site_fract_z
K1 0.182 0.000 0.172
V1 0.119 0.348 0.394
H1 0.031 0.113 0.655
H2 0.187 0.611 0.269
H3 0.266 0.557 0.695
H4 0.307 0.426 0.822
H5 0.389 0.681 0.080
H6 0.475 0.200 0.689
Se1 0.421 0.847 0.732
O1 0.045 0.292 0.153
O2 0.061 0.556 0.283
O3 0.171 0.878 0.563
O4 0.185 0.211 0.544
O5 0.203 0.468 0.699
O6 0.374 0.704 0.218
O7 0.426 0.402 0.419
O8 0.453 0.687 0.786
O9 0.466 0.939 0.944